# 1
PBE-GGA CrIr2Cl, relaxed; relative energy among the computed polymorphs = 0.000 eV per atom; crystal system = trigonal
1.0
-7.5756 5.5545 1.7113
-8.1443 3.5358 3.5126
-6.4623 5.6054 4.2414
Cr Ir Cl
1 2 1
Cartesian
-5.5465 3.6746 2.3667
-21.9319 14.5298 9.3585
-16.3425 10.8269 6.9734
-11.6346 7.7079 4.9645

# 2
PBE-GGA CrIr2Cl, relaxed; relative energy among the computed polymorphs = 0.069 eV per atom; crystal system = tetragonal
1.0
2.7382 0.0000 0.0000
0.0000 2.7382 0.0000
0.0000 0.0000 8.6614
Cr Ir Cl
1 2 1
Cartesian
1.3691 1.3691 6.5688
0.0000 0.0000 8.3522
1.3691 1.3691 1.6048
0.0000 0.0000 5.1276

# 3
PBE-GGA CrIr2Cl, relaxed; relative energy among the computed polymorphs = 0.250 eV per atom; crystal system = orthorhombic
1.0
-0.4466 2.5230 -1.1408
-1.2302 -0.7130 2.4175
7.6300 3.5840 4.9397
Cr Ir Cl
1 2 1
Cartesian
4.8999 3.6004 4.3533
7.4234 3.4869 4.8059
0.7551 1.6535 1.6700
4.3200 2.0292 2.7967

# 4
PBE-GGA CrIr2Cl, relaxed; relative energy among the computed polymorphs = 0.593 eV per atom; crystal system = tetragonal
1.0
-4.3844 2.9658 -2.2777
-0.1887 -2.3268 -2.6666
-2.2921 -1.9543 1.8674
Cr Ir Cl
1 2 1
Cartesian
-3.3382 0.5057 -0.2051
0.0000 0.0000 0.0000
-1.2404 -2.1406 -0.3996
-2.2865 0.3195 -2.4722

# 5
PBE-GGA CrIr2Cl, relaxed; relative energy among the computed polymorphs = 0.440 eV per atom; crystal system = monoclinic
1.0
4.5743 -0.0039 -0.0128
-2.2692 4.9243 0.0010
0.0359 0.8340 2.7360
Cr Ir Cl
1 2 1
Cartesian
1.1525 2.4602 -0.0059
0.0000 0.0000 0.0000
2.3051 0.4151 1.3616
-1.1166 2.8792 1.3685

# 6
PBE-GGA CrIr2Cl, relaxed; relative energy among the computed polymorphs = 0.152 eV per atom; crystal system = tetragonal
1.0
2.7765 0.0000 0.0000
0.0000 2.7765 0.0000
0.0000 0.0000 7.6642
Cr Ir Cl
1 2 1
Cartesian
1.3882 1.3882 5.7481
0.0000 0.0000 7.4333
0.0000 0.0000 4.0630
1.3882 1.3882 1.9160

# 7
PBE-GGA Cr3IrCl, relaxed; relative energy among the computed polymorphs = 0.000 eV per atom; crystal system = cubic
1.0
4.0904 0.0000 0.0000
0.0000 4.0904 0.0000
0.0000 0.0000 4.0904
Cr Ir Cl
3 1 1
Cartesian
0.0000 2.0452 0.0000
0.0000 0.0000 2.0452
2.0452 0.0000 0.0000
2.0452 2.0452 2.0452
0.0000 0.0000 0.0000

# 8
PBE-GGA CrIr2Cl, relaxed; relative energy among the computed polymorphs = 0.680 eV per atom; crystal system = tetragonal
1.0
5.9458 0.0000 0.0000
0.0000 5.9458 0.0000
2.9729 2.9729 4.3941
Cr Ir Cl
2 4 2
Cartesian
0.0000 0.0000 0.0000
5.9458 2.9729 2.1970
4.6253 1.4865 1.0985
1.3205 4.4594 1.0985
4.4594 4.2934 3.2955
7.4323 7.5983 3.2955
2.9729 2.9729 0.0000
2.9729 5.9458 2.1970

# 9
PBE-GGA Cr2IrCl2, relaxed; relative energy among the computed polymorphs = 0.000 eV per atom; crystal system = tetragonal
1.0
-0.6642 -6.9573 2.5238
7.1676 -1.2359 -1.5208
0.7470 0.9313 2.7638
Cr Ir Cl
4 2 4
Cartesian
5.1957 -1.7126 0.8125
5.7176 -5.3385 1.8932
2.0547 -5.5494 2.9543
1.5328 -1.9235 1.8736
0.0000 0.0000 0.0000
3.2517 -4.0966 0.5015
5.9795 -3.6362 -0.3909
3.9504 -6.8222 1.2310
0.5239 -4.5570 1.3939
2.5530 -1.3710 -0.2281

# 10
PBE-GGA CrIr2Cl, relaxed; relative energy among the computed polymorphs = 0.613 eV per atom; crystal system = tetragonal
1.0
-4.2104 0.9545 -0.6481
0.1716 -3.0469 -3.1217
1.1807 -1.1974 4.0287
Cr Ir Cl
1 2 1
Cartesian
-2.5245 -0.6446 0.7478
0.0000 0.0000 0.0000
-0.3335 -2.6453 -0.4890
-2.0194 -1.0462 -1.8849

# 11
PBE-GGA CrIr2Cl, relaxed; relative energy among the computed polymorphs = 0.246 eV per atom; crystal system = orthorhombic
1.0
-1.3971 -2.4593 0.4998
2.1864 -1.7183 -2.3432
4.4355 -1.4610 5.2099
Cr Ir Cl
1 2 1
Cartesian
3.8269 -3.2193 3.1099
0.0271 -0.0089 0.0318
1.0882 -2.3172 -0.1071
2.5003 -0.8235 2.9368

# 12
PBE-GGA CrIrCl3, relaxed; relative energy among the computed polymorphs = 0.000 eV per atom; crystal system = cubic
1.0
4.8259 0.0000 0.0000
0.0000 4.8259 0.0000
0.0000 0.0000 4.8259
Cr Ir Cl
1 1 3
Cartesian
2.4129 2.4129 2.4129
0.0000 0.0000 0.0000
0.0000 2.4129 0.0000
0.0000 0.0000 2.4129
2.4129 0.0000 0.0000

# 13
PBE-GGA LiCr2IrCl, relaxed; E = -5.77 eV/atom; crystal system = tetragonal
1.0
4.3369 0.0000 0.0000
0.0000 3.9683 0.0000
0.0000 0.0000 4.3369
Cr Ir Li Cl
2 1 1 1
Cartesian
0.0000 0.0000 2.1684
2.1684 0.0000 0.0000
2.1684 1.9842 2.1684
0.0000 1.9842 0.0000
0.0000 0.0000 0.0000

# 14
PBE-GGA MgCrIr2Cl, relaxed; E = -5.30 eV/atom; crystal system = tetragonal
1.0
-3.9828 1.3212 1.6627
1.3497 -0.8803 3.9325
1.5670 4.2134 0.4054
Cr Mg Ir Cl
1 1 2 1
Cartesian
0.6748 -0.4401 1.9662
-0.5331 2.3272 3.0003
0.7835 2.1067 0.2027
-1.9914 0.6606 0.8313
0.0000 0.0000 0.0000

# 15
PBE-GGA CrNiIr2Cl, relaxed; E = -5.52 eV/atom; crystal system = tetragonal
1.0
-1.3528 0.8705 -4.2253
-2.0871 -3.8587 -0.1268
-3.7401 1.9702 1.6034
Ni Ir Cl Cr
1 2 1 1
Cartesian
-1.0435 -1.9293 -0.0634
-1.8700 0.9851 0.8017
-0.6764 0.4353 -2.1126
-3.5900 -0.5089 -1.3743
0.0000 0.0000 0.0000

# 16
PBE-GGA CrP2IrCl, relaxed; relative energy among the computed polymorphs = 0.202 eV per atom; crystal system = tetragonal
1.0
-0.4290 -3.8926 -2.2724
3.7929 0.9215 -2.2946
2.7098 -2.3602 3.5314
Cr Ir P Cl
1 1 2 1
Cartesian
3.0368 -2.6656 -0.5178
0.0000 0.0000 0.0000
1.8964 0.4608 -1.1473
-0.2145 -1.9463 -1.1362
1.3549 -1.1801 1.7657

# 17
PBE-GGA CrP2IrCl, relaxed; relative energy among the computed polymorphs = 0.000 eV per atom; crystal system = tetragonal
1.0
4.5212 0.0000 0.0000
0.0000 4.5212 0.0000
0.0000 0.0000 4.1806
Cr Ir P Cl
1 1 2 1
Cartesian
0.0000 0.0000 0.0000
2.2606 2.2606 2.0903
0.0000 2.2606 0.0000
2.2606 0.0000 0.0000
0.0000 0.0000 2.0903

# 18
PBE-GGA CrReIrCl2, relaxed; E = -5.12 eV/atom; crystal system = tetragonal
1.0
-3.4653 0.8213 -3.0358
-3.2977 -0.3354 3.6735
0.4040 4.5961 0.7823
Re Ir Cl Cr
1 1 2 1
Cartesian
-1.6488 -0.1677 1.8367
0.0000 0.0000 0.0000
0.2020 2.2981 0.3911
-1.7327 0.4106 -1.5179
-3.1795 2.5410 0.7100

# 19
PBE-GGA CrIrSCl2, relaxed; relative energy among the computed polymorphs = 0.000 eV per atom; crystal system = tetragonal
1.0
-4.9224 0.4383 -0.8379
-0.9072 -3.4420 3.5290
-0.2365 3.2074 3.0675
Cr S Ir Cl
1 1 1 2
Cartesian
-3.0331 0.1018 2.8793
-0.1183 1.6037 1.5337
0.0000 0.0000 0.0000
-0.4536 -1.7210 1.7645
-2.4612 0.2192 -0.4189

# 20
PBE-GGA CrIrSCl2, relaxed; relative energy among the computed polymorphs = 0.519 eV per atom; crystal system = tetragonal
1.0
-0.7547 -3.6420 -2.2404
-0.5487 -2.1737 3.7185
-4.7145 1.0333 -0.0917
Cr S Ir Cl
1 1 1 2
Cartesian
0.0000 0.0000 0.0000
-2.3572 0.5167 -0.0458
-3.0089 -2.3912 0.6932
-0.2744 -1.0868 1.8592
-0.3773 -1.8210 -1.1202

# 21
PBE-GGA K2CrCl, relaxed; relative energy among the computed polymorphs = 0.037 eV per atom; crystal system = monoclinic
1.0
-2.5758 -1.4633 -3.1460
-2.2995 -3.6297 0.4591
-8.6344 3.4008 2.7055
Cr K Cl
1 2 1
Cartesian
-3.3774 -0.4231 0.0046
-8.3371 3.1717 2.5450
-7.0522 -0.6170 0.1698
-10.1323 -1.2692 0.0139

# 22
PBE-GGA KCrCl, relaxed; relative energy among the computed polymorphs = 0.022 eV per atom; crystal system = orthorhombic
1.0
7.1595 0.1192 -0.0998
6.1443 3.4971 0.1642
1.0152 -0.3355 3.3715
Cr K Cl
1 1 1
Cartesian
5.4880 1.1028 2.1678
8.9225 2.2073 1.2435
13.2122 3.5868 0.0891

# 23
PBE-GGA KCrCl3, relaxed; E = -3.38 eV/atom; crystal system = cubic
1.0
5.6294 0.0000 0.0000
0.0000 5.6294 0.0000
0.0000 0.0000 5.6294
Cr K Cl
1 1 3
Cartesian
2.8147 2.8147 2.8147
0.0000 0.0000 0.0000
0.0000 2.8147 0.0000
0.0000 0.0000 2.8147
2.8147 0.0000 0.0000

# 24
PBE-GGA K2CrCl5, relaxed; relative energy among the computed polymorphs = 0.000 eV per atom; crystal system = orthorhombic
1.0
-0.3036 6.0520 -3.2375
-6.3026 2.7566 5.7442
9.9862 5.0627 8.5275
K Cr Cl
8 4 20
Cartesian
-0.6652 7.5700 3.2790
4.0451 6.3013 7.7552
1.9148 8.1972 11.4991
1.4651 5.6741 -0.4649
0.4091 9.7805 7.3105
2.9708 4.0908 3.7237
-3.4690 3.8019 3.7876
6.8489 10.0694 7.2466
4.0200 11.5733 10.3232
-0.6401 2.2980 0.7111
0.0617 5.6298 6.8735
3.3182 8.2415 4.1608
-3.7604 7.0273 2.5547
7.1403 6.8440 8.4795
0.9934 6.7036 8.7936
2.3865 7.1676 2.2407
4.5929 9.4222 9.7760
-1.2130 4.4491 1.2582
-1.5029 7.2780 6.5738
-1.0661 1.5203 2.8249
4.8828 6.5932 4.4605
4.4460 12.3509 8.2093
4.7359 9.5220 2.8938
-1.3560 4.3493 8.1405
-0.1518 3.0260 -1.6187
1.6900 6.9356 5.5171
0.0000 0.0000 0.0000
1.8418 3.9096 7.1358
1.7718 11.2053 9.8463
1.6081 2.6659 1.1880
-0.5518 4.5468 4.9066
3.9317 9.3244 6.1276

# 25
PBE-GGA K3CrCl, relaxed; relative energy among the computed polymorphs = 0.000 eV per atom; crystal system = cubic
1.0
6.0885 0.0000 0.0000
0.0000 6.0885 0.0000
0.0000 0.0000 6.0885
Cr K Cl
1 3 1
Cartesian
3.0443 3.0443 3.0443
0.0000 3.0443 0.0000
0.0000 0.0000 3.0443
3.0443 0.0000 0.0000
0.0000 0.0000 0.0000

# 26
PBE-GGA KCrCl4, relaxed; relative energy among the computed polymorphs = 0.000 eV per atom; crystal system = tetragonal
1.0
-5.0257 2.0101 -4.2517
-4.3899 0.2269 5.2964
6.6236 6.3530 0.7455
K Cr Cl
2 2 8
Cartesian
0.0000 0.0000 0.0000
-1.5550 4.7408 -1.4919
-4.7078 1.1185 0.5224
-1.2371 3.8492 3.2821
-1.9694 2.6311 4.9942
3.4886 5.9141 1.4964
-0.1796 6.9909 0.6935
-1.0273 3.0293 1.2242
-4.9176 1.9383 2.5803
0.8582 4.3297 3.8564
-2.8099 5.4065 3.0536
-3.9755 2.3365 -1.1898

# 27
PBE-GGA KCrCl4, relaxed; relative energy among the computed polymorphs = 1.274 eV per atom; crystal system = cubic
1.0
-6.0318 0.8280 0.4222
-2.6878 4.5031 -3.1215
-3.5995 -1.3069 -4.7520
K Cr Cl
1 1 4
Cartesian
0.0000 0.0000 0.0000
-9.2394 3.0181 -5.5885
-7.6308 1.9234 -2.5869
-6.4186 0.8594 -5.1655
-5.9642 3.7549 -4.3529
-4.6247 1.5107 -2.7973